1.
Below is a geometry-optimized CrRe3 structure, with properties calculated at the PBE-GGA level.

Cell and atoms, written as CIF:
```
data_CrRe3
_cell_length_a 3.013
_cell_length_b 3.013
_cell_length_c 6.280
_cell_angle_alpha 90.00
_cell_angle_beta 90.00
_cell_angle_gamma 90.00
_space_group_name_H-M_alt 'P 4/m m m'
_space_group_IT_number 123
_space_group_name_Hall '-P 4 2'
loop_
_atom_site_label
_atom_site_type_symbol
_atom_site_fract_x
_atom_site_fract_y
_atom_site_fract_z
Cr1 Cr 0.000 0.000 0.000
Re1 Re 0.000 0.000 0.500
Re2 Re 0.500 0.500 0.229
```

Summary:
electronic total energy = -11.59 eV/atom
mass density = 17786 kg/m3

2.
Below is a geometry-optimized InBi3N structure, with properties calculated at the PBE-GGA level.

Cell and atoms, written as CIF:
```
data_InBi3N
_cell_length_a 4.929
_cell_length_b 6.589
_cell_length_c 9.283
_cell_angle_alpha 73.50
_cell_angle_beta 88.67
_cell_angle_gamma 73.69
_space_group_name_H-M_alt 'P -1'
_space_group_IT_number 2
_space_group_name_Hall '-P 1'
loop_
_atom_site_label
_atom_site_type_symbol
_atom_site_fract_x
_atom_site_fract_y
_atom_site_fract_z
In1 In 0.234 0.116 0.060
Bi1 Bi 0.131 0.854 0.665
Bi2 Bi 0.288 0.560 0.158
Bi3 Bi 0.337 0.316 0.586
N1 N 0.050 0.427 0.363
```

Summary:
electronic total energy = -4.20 eV/atom
mass density = 9064 kg/m3
uncorrected formation energy = 1.71 eV/f.u.

3.
Below is a geometry-optimized CaTlAs2 structure, with properties calculated at the PBE-GGA level.

Cell and atoms, written as CIF:
```
data_CaTlAs2
_cell_length_a 3.829
_cell_length_b 3.829
_cell_length_c 6.656
_cell_angle_alpha 90.00
_cell_angle_beta 90.00
_cell_angle_gamma 90.00
_space_group_name_H-M_alt 'P 4 m m'
_space_group_IT_number 99
_space_group_name_Hall 'P 4 -2'
loop_
_atom_site_label
_atom_site_type_symbol
_atom_site_fract_x
_atom_site_fract_y
_atom_site_fract_z
Ca1 Ca 0.000 0.000 0.000
Tl1 Tl 0.500 0.500 0.304
As1 As 0.000 0.000 0.564
As2 As 0.500 0.500 0.736
```

Summary:
electronic total energy = -3.62 eV/atom
mass density = 6710 kg/m3

4.
Below is a geometry-optimized Fe2PPb structure, with properties calculated at the PBE-GGA level.

Cell and atoms, written as CIF:
```
data_Fe2PPb
_cell_length_a 6.312
_cell_length_b 6.312
_cell_length_c 6.312
_cell_angle_alpha 90.00
_cell_angle_beta 90.00
_cell_angle_gamma 90.00
_space_group_name_H-M_alt 'F m -3 m'
_space_group_IT_number 225
_space_group_name_Hall '-F 4 2 3'
loop_
_atom_site_label
_atom_site_type_symbol
_atom_site_fract_x
_atom_site_fract_y
_atom_site_fract_z
Fe1 Fe 0.250 0.250 0.250
P1 P 0.000 0.000 0.000
Pb1 Pb 0.000 0.000 0.500
```

Summary:
electronic total energy = -5.95 eV/atom
mass density = 9241 kg/m3

5.
Below is a geometry-optimized Ac2Al3Pt4Au structure, with properties calculated at the PBE-GGA level.

Cell and atoms, written as CIF:
```
data_Ac2Al3Pt4Au
_cell_length_a 4.431
_cell_length_b 4.431
_cell_length_c 10.729
_cell_angle_alpha 90.00
_cell_angle_beta 90.00
_cell_angle_gamma 90.00
_space_group_name_H-M_alt 'P -4 m 2'
_space_group_IT_number 115
_space_group_name_Hall 'P -4 -2'
loop_
_atom_site_label
_atom_site_type_symbol
_atom_site_fract_x
_atom_site_fract_y
_atom_site_fract_z
Ac1 Ac 0.000 0.500 0.249
Al1 Al 0.000 0.000 0.000
Al2 Al 0.000 0.500 0.614
Pt1 Pt 0.000 0.000 0.500
Pt2 Pt 0.000 0.500 0.846
Pt3 Pt 0.500 0.500 0.500
Au1 Au 0.500 0.500 0.000
```

Summary:
electronic total energy = -5.69 eV/atom
mass density = 11919 kg/m3

> The highest mass density belongs to which entry?

CrRe3